Below is crystalline CePr2Er at its relaxed geometry, with properties calculated at the PBE-GGA level.

calculated formation energy: 79 meV/atom
density of states at the Fermi level: 8.3 states/eV/cell
E: -19.74 eV/cell
calculated volume: 133 Å³ per cell
magnetization: 0.77 μB per formula unit

Lattice parameters (Å, degrees): 5.069 5.119 5.119 90.00 90.00 90.00
Element x y z (fractional)
1 Pr 0.000 0.500 0.000
2 Er 0.500 0.500 0.500
3 Ce 0.500 0.000 0.000
4 Pr 0.000 0.000 0.500